(1)
Here is NbTlBi2 after structural relaxation from the Alexandria database. Energies are from PBE-GGA.

Geometry as CIF:
```
data_NbTlBi2
_cell_length_a 3.579
_cell_length_b 3.579
_cell_length_c 8.583
_cell_angle_alpha 90.00
_cell_angle_beta 90.00
_cell_angle_gamma 90.00
_symmetry_space_group_name_H-M 'P 1'
_symmetry_Int_Tables_number 1
_symmetry_space_group_name_Hall 'P 1'
loop_
_atom_site_label
_atom_site_fract_x
_atom_site_fract_y
_atom_site_fract_z
_atom_site_occupancy
Bi1 0.000 0.000 0.199 1
Bi2 0.000 0.000 0.801 1
Tl1 0.500 0.500 0.500 1
Nb1 0.500 0.500 0.000 1
```

## Properties
As for the space group: P4/mmm, No. 123. The formation enthalpy at 0 K is 0.12 eV per atom. As for the calculated volume: 109.96 Å³ per cell.


(2)
Here is KAg2Sb2 after structural relaxation from the Alexandria database. Energies are from PBE-GGA.

Geometry as CIF:
```
data_KAg2Sb2
_cell_length_a 4.861
_cell_length_b 4.861
_cell_length_c 11.722
_cell_angle_alpha 90.00
_cell_angle_beta 90.00
_cell_angle_gamma 90.67
_symmetry_space_group_name_H-M 'P 1'
_symmetry_Int_Tables_number 1
_symmetry_space_group_name_Hall 'P 1'
loop_
_atom_site_label
_atom_site_fract_x
_atom_site_fract_y
_atom_site_fract_z
_atom_site_occupancy
Ag1 0.773 0.227 0.500 1
Ag2 0.773 0.227 0.000 1
Ag3 0.227 0.773 0.500 1
Ag4 0.227 0.773 0.000 1
Sb1 0.272 0.272 0.373 1
Sb2 0.272 0.272 0.127 1
Sb3 0.728 0.728 0.873 1
Sb4 0.728 0.728 0.627 1
K1 0.237 0.237 0.750 1
K2 0.763 0.763 0.250 1
```

## Properties
As for the space group: Cmcm, No. 63. For the uncorrected formation energy, the calculation gives -1.0 eV/f.u. As for the calculated volume: 277.01 Å³ per cell.


(3)
Here is Ho6Si2Te3S after structural relaxation from the Alexandria database. Energies are from PBE-GGA.

Geometry as CIF:
```
data_Ho6Si2Te3S
_cell_length_a 4.153
_cell_length_b 8.501
_cell_length_c 9.468
_cell_angle_alpha 104.97
_cell_angle_beta 102.67
_cell_angle_gamma 90.00
_symmetry_space_group_name_H-M 'P 1'
_symmetry_Int_Tables_number 1
_symmetry_space_group_name_Hall 'P 1'
loop_
_atom_site_label
_atom_site_fract_x
_atom_site_fract_y
_atom_site_fract_z
_atom_site_occupancy
Te1 0.835 0.167 0.671 1
Te2 0.500 0.500 0.000 1
Te3 0.165 0.833 0.329 1
Ho1 0.340 0.897 0.679 1
Ho2 0.674 0.564 0.347 1
Ho3 0.010 0.232 0.020 1
Ho4 0.990 0.768 0.980 1
Ho5 0.326 0.436 0.653 1
Ho6 0.660 0.103 0.321 1
Si1 0.834 0.670 0.668 1
Si2 0.166 0.330 0.332 1
S1 0.500 0.000 0.000 1
```

## Properties
As for the space group: C2/m, No. 12. For the uncorrected formation energy, the calculation gives -15.6 eV/f.u. As for the calculated volume: 314.49 Å³ per cell.


(4)
Here is CeCdRu after structural relaxation from the Alexandria database. Energies are from PBE-GGA.

Geometry as CIF:
```
data_CeCdRu
_cell_length_a 4.104
_cell_length_b 5.139
_cell_length_c 7.212
_cell_angle_alpha 102.58
_cell_angle_beta 106.49
_cell_angle_gamma 66.49
_symmetry_space_group_name_H-M 'P 1'
_symmetry_Int_Tables_number 1
_symmetry_space_group_name_Hall 'P 1'
loop_
_atom_site_label
_atom_site_fract_x
_atom_site_fract_y
_atom_site_fract_z
_atom_site_occupancy
Cd1 0.332 0.288 0.951 1
Cd2 0.668 0.712 0.049 1
Ru1 0.338 0.666 0.342 1
Ru2 0.662 0.334 0.658 1
Ce1 0.912 0.845 0.669 1
Ce2 0.088 0.155 0.331 1
```

## Properties
As for the space group: C2/m, No. 12. The formation enthalpy at 0 K is -0.33 eV per atom. As for the calculated volume: 132.76 Å³ per cell.


(5)
Here is SrGa2Ru after structural relaxation from the Alexandria database. Energies are from PBE-GGA.

Geometry as CIF:
```
data_SrGa2Ru
_cell_length_a 4.292
_cell_length_b 4.292
_cell_length_c 6.118
_cell_angle_alpha 69.46
_cell_angle_beta 69.46
_cell_angle_gamma 60.00
_symmetry_space_group_name_H-M 'P 1'
_symmetry_Int_Tables_number 1
_symmetry_space_group_name_Hall 'P 1'
loop_
_atom_site_label
_atom_site_fract_x
_atom_site_fract_y
_atom_site_fract_z
_atom_site_occupancy
Ru1 0.000 0.000 0.000 1
Ga1 0.704 0.704 0.888 1
Ga2 0.296 0.296 0.112 1
Sr1 0.500 0.500 0.500 1
```

## Properties
As for the space group: R-3m, No. 166. The formation enthalpy at 0 K is -0.34 eV per atom. As for the calculated volume: 89.23 Å³ per cell.


(6)
Here is Ac3InAg2Pd6 after structural relaxation from the Alexandria database. Energies are from PBE-GGA.

Geometry as CIF:
```
data_Ac3InAg2Pd6
_cell_length_a 5.944
_cell_length_b 5.944
_cell_length_c 9.072
_cell_angle_alpha 90.00
_cell_angle_beta 90.00
_cell_angle_gamma 120.00
_symmetry_space_group_name_H-M 'P 1'
_symmetry_Int_Tables_number 1
_symmetry_space_group_name_Hall 'P 1'
loop_
_atom_site_label
_atom_site_fract_x
_atom_site_fract_y
_atom_site_fract_z
_atom_site_occupancy
Ac1 0.333 0.667 0.629 1
Ac2 0.667 0.333 0.371 1
Ac3 0.000 0.000 0.000 1
Pd1 0.176 0.824 0.276 1
Pd2 0.353 0.176 0.724 1
Pd3 0.824 0.647 0.724 1
Pd4 0.647 0.824 0.276 1
Pd5 0.176 0.353 0.276 1
Pd6 0.824 0.176 0.724 1
Ag1 0.667 0.333 0.984 1
Ag2 0.333 0.667 0.016 1
In1 0.000 0.000 0.500 1
```

## Properties
As for the space group: P-3m1, No. 164. The formation enthalpy at 0 K is -0.61 eV per atom. As for the calculated volume: 277.57 Å³ per cell.


(7)
Here is Ba4CdHg after structural relaxation from the Alexandria database. Energies are from PBE-GGA.

Geometry as CIF:
```
data_Ba4CdHg
_cell_length_a 4.288
_cell_length_b 4.288
_cell_length_c 15.152
_cell_angle_alpha 90.00
_cell_angle_beta 90.00
_cell_angle_gamma 90.00
_symmetry_space_group_name_H-M 'P 1'
_symmetry_Int_Tables_number 1
_symmetry_space_group_name_Hall 'P 1'
loop_
_atom_site_label
_atom_site_fract_x
_atom_site_fract_y
_atom_site_fract_z
_atom_site_occupancy
Hg1 0.000 0.000 0.000 1
Ba1 0.500 0.500 0.870 1
Ba2 0.500 0.500 0.130 1
Ba3 0.000 0.000 0.366 1
Ba4 0.000 0.000 0.634 1
Cd1 0.500 0.500 0.500 1
```

## Properties
As for the space group: P4/mmm, No. 123. The formation enthalpy at 0 K is -0.30 eV per atom. As for the calculated volume: 278.54 Å³ per cell.


(8)
Here is Be6AgPd5 after structural relaxation from the Alexandria database. Energies are from PBE-GGA.

Geometry as CIF:
```
data_Be6AgPd5
_cell_length_a 4.029
_cell_length_b 5.712
_cell_length_c 6.416
_cell_angle_alpha 90.00
_cell_angle_beta 109.27
_cell_angle_gamma 90.00
_symmetry_space_group_name_H-M 'P 1'
_symmetry_Int_Tables_number 1
_symmetry_space_group_name_Hall 'P 1'
loop_
_atom_site_label
_atom_site_fract_x
_atom_site_fract_y
_atom_site_fract_z
_atom_site_occupancy
Be1 0.173 0.256 0.344 1
Be2 0.827 0.744 0.656 1
Be3 0.500 0.737 0.000 1
Be4 0.827 0.256 0.656 1
Be5 0.500 0.263 0.000 1
Be6 0.173 0.744 0.344 1
Pd1 0.665 0.500 0.331 1
Pd2 0.000 0.500 0.000 1
Pd3 0.335 0.000 0.670 1
Pd4 0.665 0.000 0.330 1
Pd5 0.335 0.500 0.669 1
Ag1 0.000 0.000 0.000 1
```

## Properties
As for the space group: P2/m, No. 10. The formation enthalpy at 0 K is -0.45 eV per atom. As for the calculated volume: 139.39 Å³ per cell.


(9)
Here is PrDyMg2Ag4 after structural relaxation from the Alexandria database. Energies are from PBE-GGA.

Geometry as CIF:
```
data_PrDyMg2Ag4
_cell_length_a 5.025
_cell_length_b 5.025
_cell_length_c 8.665
_cell_angle_alpha 73.15
_cell_angle_beta 73.15
_cell_angle_gamma 60.00
_symmetry_space_group_name_H-M 'P 1'
_symmetry_Int_Tables_number 1
_symmetry_space_group_name_Hall 'P 1'
loop_
_atom_site_label
_atom_site_fract_x
_atom_site_fract_y
_atom_site_fract_z
_atom_site_occupancy
Ag1 0.378 0.378 0.865 1
Ag2 0.871 0.871 0.387 1
Ag3 0.622 0.622 0.135 1
Ag4 0.129 0.129 0.613 1
Mg1 0.751 0.751 0.748 1
Mg2 0.249 0.249 0.252 1
Dy1 0.500 0.500 0.500 1
Pr1 0.000 0.000 0.000 1
```

## Properties
As for the space group: R-3m, No. 166. The formation enthalpy at 0 K is -0.28 eV per atom. As for the calculated volume: 178.54 Å³ per cell.


(10)
Here is PrSmYSc after structural relaxation from the Alexandria database. Energies are from PBE-GGA.

Geometry as CIF:
```
data_PrSmYSc
_cell_length_a 3.828
_cell_length_b 5.711
_cell_length_c 6.761
_cell_angle_alpha 114.98
_cell_angle_beta 73.55
_cell_angle_gamma 90.00
_symmetry_space_group_name_H-M 'P 1'
_symmetry_Int_Tables_number 1
_symmetry_space_group_name_Hall 'P 1'
loop_
_atom_site_label
_atom_site_fract_x
_atom_site_fract_y
_atom_site_fract_z
_atom_site_occupancy
Y1 0.191 0.871 0.743 1
Sm1 0.426 0.137 0.274 1
Pr1 0.650 0.412 0.825 1
Sc1 0.919 0.644 0.287 1
```

## Properties
As for the space group: Cm, No. 8. The formation enthalpy at 0 K is 0.10 eV per atom. As for the calculated volume: 127.28 Å³ per cell.


(11)
Here is LiCoPb2 after structural relaxation from the Alexandria database. Energies are from PBE-GGA.

Geometry as CIF:
```
data_LiCoPb2
_cell_length_a 5.029
_cell_length_b 5.029
_cell_length_c 5.029
_cell_angle_alpha 60.00
_cell_angle_beta 60.00
_cell_angle_gamma 60.00
_symmetry_space_group_name_H-M 'P 1'
_symmetry_Int_Tables_number 1
_symmetry_space_group_name_Hall 'P 1'
loop_
_atom_site_label
_atom_site_fract_x
_atom_site_fract_y
_atom_site_fract_z
_atom_site_occupancy
Pb1 0.000 0.000 0.000 1
Pb2 0.250 0.250 0.250 1
Co1 0.500 0.500 0.500 1
Li1 0.750 0.750 0.750 1
```

## Properties
As for the space group: F-43m, No. 216. The formation enthalpy at 0 K is 0.46 eV per atom. As for the calculated volume: 89.96 Å³ per cell.


(12)
Here is TmPuO2 after structural relaxation from the Alexandria database. Energies are from PBE-GGA.

Geometry as CIF:
```
data_TmPuO2
_cell_length_a 3.375
_cell_length_b 3.375
_cell_length_c 6.172
_cell_angle_alpha 74.13
_cell_angle_beta 74.13
_cell_angle_gamma 60.00
_symmetry_space_group_name_H-M 'P 1'
_symmetry_Int_Tables_number 1
_symmetry_space_group_name_Hall 'P 1'
loop_
_atom_site_label
_atom_site_fract_x
_atom_site_fract_y
_atom_site_fract_z
_atom_site_occupancy
Pu1 0.500 0.500 0.500 1
O1 0.735 0.735 0.794 1
O2 0.265 0.265 0.206 1
Tm1 0.000 0.000 0.000 1
```

## Properties
As for the space group: R-3m, No. 166. For the uncorrected formation energy, the calculation gives -10.8 eV/f.u. As for the calculated volume: 57.77 Å³ per cell.


(13)
Here is PmEuGe4 after structural relaxation from the Alexandria database. Energies are from PBE-GGA.

Geometry as CIF:
```
data_PmEuGe4
_cell_length_a 5.733
_cell_length_b 5.733
_cell_length_c 5.733
_cell_angle_alpha 60.00
_cell_angle_beta 60.00
_cell_angle_gamma 60.00
_symmetry_space_group_name_H-M 'P 1'
_symmetry_Int_Tables_number 1
_symmetry_space_group_name_Hall 'P 1'
loop_
_atom_site_label
_atom_site_fract_x
_atom_site_fract_y
_atom_site_fract_z
_atom_site_occupancy
Ge1 0.624 0.624 0.624 1
Ge2 0.129 0.624 0.624 1
Ge3 0.624 0.129 0.624 1
Ge4 0.624 0.624 0.129 1
Pm1 0.250 0.250 0.250 1
Eu1 0.000 0.000 0.000 1
```

## Properties
As for the space group: F-43m, No. 216. The formation enthalpy at 0 K is -0.40 eV per atom. As for the calculated volume: 133.23 Å³ per cell.


(14)
Here is KTaIn2 after structural relaxation from the Alexandria database. Energies are from PBE-GGA.

Geometry as CIF:
```
data_KTaIn2
_cell_length_a 5.217
_cell_length_b 5.217
_cell_length_c 5.217
_cell_angle_alpha 60.00
_cell_angle_beta 60.00
_cell_angle_gamma 60.00
_symmetry_space_group_name_H-M 'P 1'
_symmetry_Int_Tables_number 1
_symmetry_space_group_name_Hall 'P 1'
loop_
_atom_site_label
_atom_site_fract_x
_atom_site_fract_y
_atom_site_fract_z
_atom_site_occupancy
In1 0.750 0.750 0.750 1
In2 0.250 0.250 0.250 1
K1 0.000 0.000 0.000 1
Ta1 0.500 0.500 0.500 1
```

## Properties
As for the space group: Fm-3m, No. 225. The formation enthalpy at 0 K is 0.75 eV per atom. As for the calculated volume: 100.43 Å³ per cell.